1.
{"formula": "CdPW3", "functional": "meta-GGA SCAN", "state": "PBEsol geometry", "ef_ev_per_fu": 5.3, "volume_a3_per_atom": 17.602, "lattice_angstrom": [[4.4481, 0.0000, 0.0000], [0.0000, 4.4481, 0.0000], [0.0000, 0.0000, 4.4481]], "species": ["Cd", "P", "W", "W", "W"], "fractional_positions": [[0.0000, 0.0000, 0.0000], [0.5000, 0.5000, 0.5000], [0.0000, 0.5000, 0.5000], [0.5000, 0.0000, 0.5000], [0.5000, 0.5000, 0.0000]]}

2.
{"formula": "CdP4W", "functional": "meta-GGA SCAN", "state": "PBEsol geometry", "ef_ev_per_fu": 6.5, "volume_a3_per_atom": 14.925, "lattice_angstrom": [[0.0000, 3.5510, 3.5510], [3.5510, 0.0000, 3.5510], [3.5510, 3.5510, 0.0000]], "species": ["Cd", "P", "P", "P", "P", "W"], "fractional_positions": [[0.0000, 0.0000, 0.0000], [0.1346, 0.6218, 0.6218], [0.6218, 0.1346, 0.6218], [0.6218, 0.6218, 0.1346], [0.6218, 0.6218, 0.6218], [0.2500, 0.2500, 0.2500]]}

3.
{"formula": "Y2CdP", "functional": "meta-GGA SCAN", "state": "PBEsol geometry", "ef_ev_per_fu": -3.7, "volume_a3_per_atom": 22.823, "lattice_angstrom": [[4.0045, 0.0000, 0.0000], [0.0000, 2.0839, 5.4699], [0.0000, -2.0839, 5.4699]], "species": ["Y", "Y", "Cd", "P"], "fractional_positions": [[0.0000, 0.0000, 0.0000], [0.5000, 0.2896, 0.2896], [0.5000, 0.5710, 0.5710], [0.0000, 0.7406, 0.7406]]}

4.
{"formula": "Y2CdP", "functional": "meta-GGA SCAN", "state": "PBEsol geometry", "ef_ev_per_fu": -3.3, "volume_a3_per_atom": 24.705, "lattice_angstrom": [[4.1170, 0.0000, 0.0000], [0.0000, 4.1170, 0.0000], [0.0000, 0.0000, 5.8303]], "species": ["Y", "Y", "Cd", "P"], "fractional_positions": [[0.0000, 0.0000, 0.0000], [0.5000, 0.5000, 0.5000], [0.0000, 0.0000, 0.5000], [0.5000, 0.5000, 0.0000]]}

5.
{"formula": "YCdP4", "functional": "meta-GGA SCAN", "state": "PBEsol geometry", "ef_ev_per_fu": 0.2, "volume_a3_per_atom": 17.121, "lattice_angstrom": [[0.0000, 3.7172, 3.7172], [3.7172, 0.0000, 3.7172], [3.7172, 3.7172, 0.0000]], "species": ["Y", "Cd", "P", "P", "P", "P"], "fractional_positions": [[0.0000, 0.0000, 0.0000], [0.2500, 0.2500, 0.2500], [0.1364, 0.6212, 0.6212], [0.6212, 0.1364, 0.6212], [0.6212, 0.6212, 0.1364], [0.6212, 0.6212, 0.6212]]}

6.
{"formula": "Y2CdP", "functional": "meta-GGA SCAN", "state": "PBEsol geometry", "ef_ev_per_fu": -4.2, "volume_a3_per_atom": 24.872, "lattice_angstrom": [[1.9314, 1.1151, 7.6987], [-1.9314, 1.1151, 7.6987], [0.0000, -2.2302, 7.6987]], "species": ["Y", "Y", "Cd", "P"], "fractional_positions": [[0.2349, 0.2349, 0.2349], [0.7651, 0.7651, 0.7651], [0.0000, 0.0000, 0.0000], [0.5000, 0.5000, 0.5000]]}

7.
{"formula": "ZnCdP", "functional": "meta-GGA SCAN", "state": "PBEsol geometry", "ef_ev_per_fu": 0.8, "volume_a3_per_atom": 20.861, "lattice_angstrom": [[-1.7171, 1.7171, 5.3061], [1.7171, -1.7171, 5.3061], [1.7171, 1.7171, -5.3061]], "species": ["Zn", "Cd", "P"], "fractional_positions": [[0.0000, 0.0000, 0.0000], [0.7521, 0.7521, 0.0000], [0.5100, 0.5100, 0.0000]]}

8.
{"formula": "ZnCdP", "functional": "meta-GGA SCAN", "state": "PBEsol geometry", "ef_ev_per_fu": 1.1, "volume_a3_per_atom": 17.128, "lattice_angstrom": [[-1.5000, 1.5000, 5.7097], [1.5000, -1.5000, 5.7097], [1.5000, 1.5000, -5.7097]], "species": ["Zn", "Cd", "P"], "fractional_positions": [[0.0000, 0.0000, 0.0000], [0.6796, 0.6796, 0.0000], [0.3660, 0.3660, 0.0000]]}

9.
{"formula": "ZnCd3P", "functional": "meta-GGA SCAN", "state": "PBEsol geometry", "ef_ev_per_fu": 2.4, "volume_a3_per_atom": 26.124, "lattice_angstrom": [[5.0738, 0.0000, 0.0000], [0.0000, 5.0738, 0.0000], [0.0000, 0.0000, 5.0738]], "species": ["Zn", "Cd", "Cd", "Cd", "P"], "fractional_positions": [[0.0000, 0.0000, 0.0000], [0.0000, 0.5000, 0.5000], [0.5000, 0.0000, 0.5000], [0.5000, 0.5000, 0.0000], [0.5000, 0.5000, 0.5000]]}

10.
{"formula": "Zn2CdP", "functional": "meta-GGA SCAN", "state": "PBEsol geometry", "ef_ev_per_fu": 1.6, "volume_a3_per_atom": 17.095, "lattice_angstrom": [[0.0000, 3.2457, 3.2457], [3.2457, 0.0000, 3.2457], [3.2457, 3.2457, 0.0000]], "species": ["Zn", "Zn", "Cd", "P"], "fractional_positions": [[0.0000, 0.0000, 0.0000], [0.2500, 0.2500, 0.2500], [0.7500, 0.7500, 0.7500], [0.5000, 0.5000, 0.5000]]}

11.
{"formula": "Zn2CdP", "functional": "meta-GGA SCAN", "state": "PBEsol geometry", "ef_ev_per_fu": 1.2, "volume_a3_per_atom": 16.524, "lattice_angstrom": [[-1.9831, 1.9831, 4.2019], [1.9831, -1.9831, 4.2019], [1.9831, 1.9831, -4.2019]], "species": ["Zn", "Zn", "Cd", "P"], "fractional_positions": [[0.2500, 0.7500, 0.5000], [0.7500, 0.2500, 0.5000], [0.0000, 0.0000, 0.0000], [0.5000, 0.5000, 0.0000]]}

12.
{"formula": "ZrCdP3", "functional": "meta-GGA SCAN", "state": "PBEsol geometry", "ef_ev_per_fu": 1.9, "volume_a3_per_atom": 24.226, "lattice_angstrom": [[4.9478, 0.0000, 0.0000], [0.0000, 4.9478, 0.0000], [0.0000, 0.0000, 4.9478]], "species": ["Zr", "Cd", "P", "P", "P"], "fractional_positions": [[0.0000, 0.0000, 0.0000], [0.5000, 0.5000, 0.5000], [0.0000, 0.0000, 0.5000], [0.0000, 0.5000, 0.0000], [0.5000, 0.0000, 0.0000]]}

13.
{"formula": "ZrCd4P", "functional": "meta-GGA SCAN", "state": "PBEsol geometry", "ef_ev_per_fu": 2.0, "volume_a3_per_atom": 20.458, "lattice_angstrom": [[0.0000, 3.9445, 3.9445], [3.9445, 0.0000, 3.9445], [3.9445, 3.9445, 0.0000]], "species": ["Zr", "Cd", "Cd", "Cd", "Cd", "P"], "fractional_positions": [[0.0000, 0.0000, 0.0000], [0.1248, 0.6251, 0.6251], [0.6251, 0.1248, 0.6251], [0.6251, 0.6251, 0.1248], [0.6251, 0.6251, 0.6251], [0.2500, 0.2500, 0.2500]]}

14.
{"formula": "ZrCd2P", "functional": "meta-GGA SCAN", "state": "PBEsol geometry", "ef_ev_per_fu": 0.7, "volume_a3_per_atom": 19.714, "lattice_angstrom": [[1.5547, 0.8976, 9.4172], [-1.5547, 0.8976, 9.4172], [0.0000, -1.7953, 9.4172]], "species": ["Zr", "Cd", "Cd", "P"], "fractional_positions": [[0.0000, 0.0000, 0.0000], [0.2437, 0.2437, 0.2437], [0.7563, 0.7563, 0.7563], [0.5000, 0.5000, 0.5000]]}

15.
{"formula": "CdPb3", "functional": "meta-GGA SCAN", "state": "PBEsol geometry", "ef_ev_per_fu": 0.2, "volume_a3_per_atom": 27.814, "lattice_angstrom": [[6.7875, 0.0000, 0.0000], [-3.3937, 5.8781, 0.0000], [0.0000, 0.0000, 11.1543]], "species": ["Cd", "Cd", "Cd", "Cd", "Pb", "Pb", "Pb", "Pb", "Pb", "Pb", "Pb", "Pb", "Pb", "Pb", "Pb", "Pb"], "fractional_positions": [[0.0000, 0.0000, 0.0000], [0.0000, 0.0000, 0.5000], [0.3333, 0.6667, 0.2500], [0.6667, 0.3333, 0.7500], [0.0000, 0.5000, 0.0000], [0.0000, 0.5000, 0.5000], [0.1638, 0.3275, 0.7500], [0.1638, 0.8362, 0.7500], [0.3275, 0.1638, 0.2500], [0.5000, 0.0000, 0.0000], [0.5000, 0.0000, 0.5000], [0.5000, 0.5000, 0.0000], [0.5000, 0.5000, 0.5000], [0.6725, 0.8362, 0.7500], [0.8362, 0.1638, 0.2500], [0.8362, 0.6725, 0.2500]]}

16.
{"formula": "Cd2Pb", "functional": "meta-GGA SCAN", "state": "PBEsol geometry", "ef_ev_per_fu": 0.2, "volume_a3_per_atom": 24.404, "lattice_angstrom": [[3.3528, 0.0000, 0.0000], [-1.6764, 2.9036, 0.0000], [0.0000, 0.0000, 7.5202]], "species": ["Cd", "Cd", "Pb"], "fractional_positions": [[0.3333, 0.6667, 0.3483], [0.6667, 0.3333, 0.6517], [0.0000, 0.0000, 0.0000]]}

17.
{"formula": "Cd2Pb", "functional": "meta-GGA SCAN", "state": "PBEsol geometry", "ef_ev_per_fu": 0.2, "volume_a3_per_atom": 24.246, "lattice_angstrom": [[6.4593, 0.0000, 0.0000], [0.0000, 4.6401, 0.0000], [0.0000, 0.0000, 9.7075]], "species": ["Cd", "Cd", "Cd", "Cd", "Cd", "Cd", "Cd", "Cd", "Pb", "Pb", "Pb", "Pb"], "fractional_positions": [[0.1085, 0.2500, 0.2393], [0.1215, 0.2500, 0.9214], [0.3785, 0.7500, 0.4214], [0.3915, 0.7500, 0.7393], [0.6085, 0.2500, 0.2607], [0.6215, 0.2500, 0.5786], [0.8785, 0.7500, 0.0786], [0.8915, 0.7500, 0.7607], [0.1241, 0.2500, 0.5941], [0.3759, 0.7500, 0.0941], [0.6241, 0.2500, 0.9059], [0.8759, 0.7500, 0.4059]]}

18.
{"formula": "Cd7Pb", "functional": "meta-GGA SCAN", "state": "PBEsol geometry", "ef_ev_per_fu": 0.4, "volume_a3_per_atom": 22.129, "lattice_angstrom": [[0.0000, 4.4566, 4.4566], [4.4566, 0.0000, 4.4566], [4.4566, 4.4566, 0.0000]], "species": ["Cd", "Cd", "Cd", "Cd", "Cd", "Cd", "Cd", "Pb"], "fractional_positions": [[0.0000, 0.0000, 0.0000], [0.0000, 0.0000, 0.5000], [0.0000, 0.5000, 0.0000], [0.0000, 0.5000, 0.5000], [0.5000, 0.0000, 0.0000], [0.5000, 0.0000, 0.5000], [0.5000, 0.5000, 0.0000], [0.5000, 0.5000, 0.5000]]}

19.
{"formula": "CdPb8", "functional": "meta-GGA SCAN", "state": "PBEsol geometry", "ef_ev_per_fu": 0.2, "volume_a3_per_atom": 28.839, "lattice_angstrom": [[-5.1422, 5.1422, 2.4539], [5.1422, -5.1422, 2.4539], [5.1422, 5.1422, -2.4539]], "species": ["Cd", "Pb", "Pb", "Pb", "Pb", "Pb", "Pb", "Pb", "Pb"], "fractional_positions": [[0.0000, 0.0000, 0.0000], [0.0000, 0.3299, 0.3299], [0.0000, 0.6701, 0.6701], [0.3299, 0.0000, 0.3299], [0.3355, 0.3355, 0.6709], [0.3355, 0.6645, 0.0000], [0.6645, 0.3355, 0.0000], [0.6645, 0.6645, 0.3291], [0.6701, 0.0000, 0.6701]]}

20.
{"formula": "Cd2Pb", "functional": "meta-GGA SCAN", "state": "PBEsol geometry", "ef_ev_per_fu": 0.3, "volume_a3_per_atom": 24.688, "lattice_angstrom": [[5.0418, 0.0000, 0.0000], [-2.5209, 4.3664, 0.0000], [0.0000, 0.0000, 3.3643]], "species": ["Cd", "Cd", "Pb"], "fractional_positions": [[0.3333, 0.6667, 0.0000], [0.6667, 0.3333, 0.0000], [0.0000, 0.0000, 0.5000]]}